A geometry-optimized AcCo3PC structure, computed with GGA-PBE.

As for the energy of formation from the pure elements: -0.323 eV/atom.

The structure belongs to space group Cmcm (No. 63); the cell edges are 5.3994, 11.0701 and 5.7305 Å and the angles 90.00°, 90.00° and 90.00°. The distinct sites, in fractional coordinates, are Ac at (0.0000, 0.2400, 0.2500), Co at (0.0000, 0.3114, 0.7500), Co at (0.2300, 0.5000, 0.0000), P at (0.0000, 0.1076, 0.7500) and C at (0.0000, 0.4768, 0.7500).

A geometry-optimized Ac2Co2Si2C structure, computed with GGA-PBE.

Its uncorrected formation energy is -3.3 eV per formula unit.

The structure belongs to space group C2/m (No. 12); the cell edges are 11.2555, 4.0697 and 7.3101 Å and the angles 90.00°, 126.55° and 90.00°. The distinct sites, in fractional coordinates, are Ac at (0.0586, 0.0000, 0.3128), Co at (0.1813, 0.5000, 0.0680), Si at (0.1980, 0.5000, 0.7675) and C at (0.0000, 0.5000, 0.0000).

A geometry-optimized AcCrC structure, computed with GGA-PBE.

As for the energy of formation from the pure elements: 0.863 eV/atom. The distance to the lowest polymorph of the same formula is 0.593 eV per atom.

The structure belongs to space group I4mm (No. 107); the cell edges are 3.0223, 3.0223 and 10.5334 Å and the angles 90.00°, 90.00° and 90.00°. The distinct sites, in fractional coordinates, are Ac at (0.0000, 0.0000, 0.0000), Cr at (0.0000, 0.0000, 0.2684) and C at (0.0000, 0.0000, 0.7305).

A geometry-optimized AcCr2C2 structure, computed with GGA-PBE.

As for the energy of formation from the pure elements: -0.020 eV/atom.

The structure belongs to space group I4/mmm (No. 139); the cell edges are 3.4936, 3.4936 and 11.4391 Å and the angles 90.00°, 90.00° and 90.00°. The distinct sites, in fractional coordinates, are Ac at (0.0000, 0.0000, 0.0000), Cr at (0.0000, 0.5000, 0.2500) and C at (0.0000, 0.0000, 0.3401).

A geometry-optimized AcCrC structure, computed with GGA-PBE.

As for the energy of formation from the pure elements: 0.270 eV/atom. The distance to the lowest polymorph of the same formula is 0.000 eV per atom.

The structure belongs to space group C2/m (No. 12); the cell edges are 6.0287, 3.4801 and 11.1963 Å and the angles 90.00°, 99.44° and 90.00°. The distinct sites, in fractional coordinates, are Ac at (0.2275, 0.0000, 0.1675), Cr at (0.1425, 0.5000, 0.4206) and C at (0.1953, 0.5000, 0.5963).

A geometry-optimized AcCrFeC2 structure, computed with GGA-PBE.

As for the energy of formation from the pure elements: -0.051 eV/atom.

The structure belongs to space group I-4m2 (No. 119); the cell edges are 3.5180, 3.5180 and 11.0768 Å and the angles 90.00°, 90.00° and 90.00°. The distinct sites, in fractional coordinates, are Ac at (0.0000, 0.0000, 0.0000), Cr at (0.0000, 0.5000, 0.7500), Fe at (0.0000, 0.5000, 0.2500) and C at (0.0000, 0.0000, 0.3350).

A geometry-optimized Ac2CrC2N6 structure, computed with GGA-PBE.

Its uncorrected formation energy is -6.3 eV per formula unit.

The structure belongs to space group R-3m (No. 166, hexagonal axes); the cell edges are 5.2459, 5.2459 and 16.1169 Å and the angles 90.00°, 90.00° and 120.00°. The distinct sites, in fractional coordinates, are Ac at (0.0000, 0.0000, 0.2267), Cr at (0.0000, 0.0000, 0.0000), C at (0.0000, 0.0000, 0.4070) and N at (0.0307, 0.5154, 0.2579).

| no. | density (g/cm³) | electronic total energy (eV per atom) | spin magnetization (μB per formula unit) |
| --- | --- | --- | --- |
| 1 | 8.66 | -7.00 | 0.00 |
| 2 | 7.90 | -6.54 | 0.00 |
| 3 | 10.04 | -6.79 | 0.42 |
| 4 | 8.44 | -8.38 | 0.00 |
| 5 | 8.34 | -7.38 | 0.00 |
| 6 | 8.69 | -8.18 | 1.87 |
| 7 | 7.96 | -8.41 | 2.00 |